Entry 1:
Density functional theory data (PBE-GGA) for a relaxed structure of CaPuAs2.

abc: 5.873 5.873 7.275
angles: 113.81 113.81 90.00
Last column: magnetic moment on the atom in μB.
Fractional positions:
Ca  0.500  0.500  0.000  -0.04
Ca  0.250  0.750  0.500  -0.04
Pu  0.750  0.250  0.500  4.75
Pu  0.000  0.000  0.000  4.75
As  0.763  0.763  0.525  -0.18
As  0.513  0.013  0.025  -0.18
As  0.237  0.237  0.475  -0.18
As  0.987  0.487  0.975  -0.18

Calculated values
- final energy (eV per atom) = -7.4244
- ΔE_f (kJ/mol of formula units) = -392
- energy above the most stable polymorph in this dataset (meV per atom) = 18.8

---

Entry 2:
Density functional theory data (PBE-GGA) for a relaxed structure of CaPuAs.

abc: 4.207 6.373 6.410
angles: 90.00 90.00 109.27
Last column: magnetic moment on the atom in μB.
Fractional positions:
Ca  0.000  0.000  0.000  0.16
Ca  0.000  0.000  0.500  0.16
Pu  0.711  0.422  0.250  5.76
Pu  0.289  0.578  0.750  5.76
As  0.383  0.766  0.250  -0.07
As  0.617  0.234  0.750  -0.07

Calculated values
- final energy (eV per atom) = -7.6193
- ΔE_f (kJ/mol of formula units) = -181

---

Entry 3:
Density functional theory data (PBE-GGA) for a relaxed structure of CaPuSc2As4.

abc: 4.025 6.984 6.942
angles: 70.92 90.00 90.00
Last column: magnetic moment on the atom in μB.
Fractional positions:
Ca  0.000  0.500  0.500  -0.01
Pu  0.500  0.500  0.000  4.87
Sc  0.000  0.000  0.000  -0.01
Sc  0.500  0.000  0.500  -0.07
As  0.000  0.766  0.750  -0.09
As  0.000  0.234  0.250  -0.09
As  0.500  0.769  0.237  -0.08
As  0.500  0.231  0.763  -0.08

Calculated values
- final energy (eV per atom) = -7.1210
- ΔE_f (kJ/mol of formula units) = -904